[1]
# DyThAlZn (PBE, optimized geometry)
data_DyThAlZn
_cell_length_a 7.2970
_cell_length_b 7.2970
_cell_length_c 7.2970
_cell_angle_alpha 90.00
_cell_angle_beta 90.00
_cell_angle_gamma 90.00
_symmetry_space_group_name_H-M 'F -4 3 m'
_symmetry_Int_Tables_number 216
_symmetry_space_group_name_Hall 'F -4 2 3'
loop_
_atom_site_label
_atom_site_type_symbol
_atom_site_fract_x
_atom_site_fract_y
_atom_site_fract_z
Dy1 Dy 0.0000 0.0000 0.0000
Th1 Th 0.0000 0.0000 0.5000
Al1 Al 0.2500 0.2500 0.2500
Zn1 Zn 0.2500 0.2500 0.7500
# Fermi-level density of states   1.1 states/eV/f.u.
# Crystal system   cubic
# DFT total energy   -4.5527 eV/atom

***

[2]
# Ba2ZrIn (PBE, optimized geometry)
data_Ba2ZrIn
_cell_length_a 6.1800
_cell_length_b 6.1800
_cell_length_c 3.8402
_cell_angle_alpha 90.00
_cell_angle_beta 90.00
_cell_angle_gamma 90.00
_symmetry_space_group_name_H-M 'P 4/m m m'
_symmetry_Int_Tables_number 123
_symmetry_space_group_name_Hall '-P 4 2'
loop_
_atom_site_label
_atom_site_type_symbol
_atom_site_fract_x
_atom_site_fract_y
_atom_site_fract_z
Ba1 Ba 0.0000 0.5000 0.0000
Zr1 Zr 0.0000 0.0000 0.5000
In1 In 0.5000 0.5000 0.5000
# Fermi-level density of states   4.9 states/eV/f.u.
# Crystal system   tetragonal
# DFT total energy   -3.4694 eV/atom

***

[3]
# Cu3Ni (PBE, optimized geometry)
data_Cu3Ni
_cell_length_a 8.0785
_cell_length_b 8.0785
_cell_length_c 2.4737
_cell_angle_alpha 90.00
_cell_angle_beta 90.00
_cell_angle_gamma 120.00
_symmetry_space_group_name_H-M 'R -3 m'
_symmetry_Int_Tables_number 166
_symmetry_space_group_name_Hall '-R 3 2"'
loop_
_atom_site_label
_atom_site_type_symbol
_atom_site_fract_x
_atom_site_fract_y
_atom_site_fract_z
Cu1 Cu 0.0000 0.5000 0.0000
Ni1 Ni 0.0000 0.0000 0.0000
# Fermi-level density of states   2.1 states/eV/f.u.
# Crystal system   trigonal
# DFT total energy   -4.4661 eV/atom

***

[4]
# Hg2BiPb2 (PBE, optimized geometry)
data_Hg2BiPb2
_cell_length_a 9.3123
_cell_length_b 9.3123
_cell_length_c 3.4737
_cell_angle_alpha 90.00
_cell_angle_beta 90.00
_cell_angle_gamma 90.00
_symmetry_space_group_name_H-M 'P 4/m b m'
_symmetry_Int_Tables_number 127
_symmetry_space_group_name_Hall '-P 4 2ab'
loop_
_atom_site_label
_atom_site_type_symbol
_atom_site_fract_x
_atom_site_fract_y
_atom_site_fract_z
Hg1 Hg 0.1171 0.3829 0.0000
Bi1 Bi 0.0000 0.0000 0.5000
Pb1 Pb 0.1844 0.6844 0.5000
# Energy relative to the lowest polymorph listed for this composition   32.8 meV/atom
# Fermi-level density of states   2.2 states/eV/f.u.
# Crystal system   tetragonal
# DFT total energy   -2.2993 eV/atom

***

[5]
# Nd4GaSi (PBE, optimized geometry)
data_Nd4GaSi
_cell_length_a 7.2560
_cell_length_b 7.2560
_cell_length_c 6.6726
_cell_angle_alpha 90.00
_cell_angle_beta 90.00
_cell_angle_gamma 90.00
_symmetry_space_group_name_H-M 'P 4/m c c'
_symmetry_Int_Tables_number 124
_symmetry_space_group_name_Hall '-P 4 2c'
loop_
_atom_site_label
_atom_site_type_symbol
_atom_site_fract_x
_atom_site_fract_y
_atom_site_fract_z
Nd1 Nd 0.1688 0.3228 0.0000
Ga1 Ga 0.5000 0.5000 0.2500
Si1 Si 0.0000 0.0000 0.2500
# Energy relative to the lowest polymorph listed for this composition   0.0 meV/atom
# E_form (uncorrected)   -0.37 eV per atom
# Fermi-level density of states   9.2 states/eV/f.u.
# Crystal system   tetragonal
# DFT total energy   -4.9567 eV/atom

***

[6]
# RbTi2VSe (PBE, optimized geometry)
data_RbTi2VSe
_cell_length_a 4.7072
_cell_length_b 4.7072
_cell_length_c 5.2465
_cell_angle_alpha 90.00
_cell_angle_beta 90.00
_cell_angle_gamma 90.00
_symmetry_space_group_name_H-M 'P 4/m m m'
_symmetry_Int_Tables_number 123
_symmetry_space_group_name_Hall '-P 4 2'
loop_
_atom_site_label
_atom_site_type_symbol
_atom_site_fract_x
_atom_site_fract_y
_atom_site_fract_z
Rb1 Rb 0.0000 0.0000 0.0000
Ti1 Ti 0.0000 0.5000 0.5000
V1 V 0.5000 0.5000 0.5000
Se1 Se 0.5000 0.5000 0.0000
# E_form (uncorrected)   0.59 eV per atom
# Fermi-level density of states   2.8 states/eV/f.u.
# Crystal system   tetragonal
# DFT total energy   -5.2826 eV/atom

***

[7]
# Sc2InCl (PBE, optimized geometry)
data_Sc2InCl
_cell_length_a 3.4987
_cell_length_b 5.6835
_cell_length_c 8.9843
_cell_angle_alpha 90.00
_cell_angle_beta 90.00
_cell_angle_gamma 90.00
_symmetry_space_group_name_H-M 'C m m m'
_symmetry_Int_Tables_number 65
_symmetry_space_group_name_Hall '-C 2 2'
loop_
_atom_site_label
_atom_site_type_symbol
_atom_site_fract_x
_atom_site_fract_y
_atom_site_fract_z
Sc1 Sc 0.0000 0.0000 0.2330
In1 In 0.0000 0.5000 0.5000
Cl1 Cl 0.0000 0.5000 0.0000
# Energy relative to the lowest polymorph listed for this composition   156.0 meV/atom
# E_form (uncorrected)   -0.62 eV per atom
# Fermi-level density of states   4.4 states/eV/f.u.
# Crystal system   orthorhombic
# DFT total energy   -4.9294 eV/atom

***

[8]
# MgGa2Rh (PBE, optimized geometry)
data_MgGa2Rh
_cell_length_a 4.2405
_cell_length_b 4.2405
_cell_length_c 13.7379
_cell_angle_alpha 90.00
_cell_angle_beta 90.00
_cell_angle_gamma 120.00
_symmetry_space_group_name_H-M 'R 3 m'
_symmetry_Int_Tables_number 160
_symmetry_space_group_name_Hall 'R 3 -2"'
loop_
_atom_site_label
_atom_site_type_symbol
_atom_site_fract_x
_atom_site_fract_y
_atom_site_fract_z
Mg1 Mg 0.0000 0.0000 0.0000
Ga1 Ga 0.0000 0.0000 0.5618
Ga2 Ga 0.0000 0.0000 0.7879
Rh1 Rh 0.0000 0.0000 0.1936
# Fermi-level density of states   1.2 states/eV/f.u.
# Crystal system   trigonal
# DFT total energy   -4.1823 eV/atom

***

[9]
# Be2CuSe2 (PBE, optimized geometry)
data_Be2CuSe2
_cell_length_a 6.5625
_cell_length_b 6.5625
_cell_length_c 3.3101
_cell_angle_alpha 90.00
_cell_angle_beta 90.00
_cell_angle_gamma 90.00
_symmetry_space_group_name_H-M 'P 4/m b m'
_symmetry_Int_Tables_number 127
_symmetry_space_group_name_Hall '-P 4 2ab'
loop_
_atom_site_label
_atom_site_type_symbol
_atom_site_fract_x
_atom_site_fract_y
_atom_site_fract_z
Be1 Be 0.1344 0.3656 0.0000
Cu1 Cu 0.0000 0.0000 0.0000
Se1 Se 0.1813 0.6813 0.5000
# Energy relative to the lowest polymorph listed for this composition   0.0 meV/atom
# E_form (uncorrected)   0.22 eV per atom
# Fermi-level density of states   1.1 states/eV/f.u.
# Crystal system   tetragonal
# DFT total energy   -3.4850 eV/atom

***

[10]
# Mg2ReMo (PBE, optimized geometry)
data_Mg2ReMo
_cell_length_a 3.3026
_cell_length_b 4.2760
_cell_length_c 9.3259
_cell_angle_alpha 90.00
_cell_angle_beta 90.00
_cell_angle_gamma 90.00
_symmetry_space_group_name_H-M 'C m m m'
_symmetry_Int_Tables_number 65
_symmetry_space_group_name_Hall '-C 2 2'
loop_
_atom_site_label
_atom_site_type_symbol
_atom_site_fract_x
_atom_site_fract_y
_atom_site_fract_z
Mg1 Mg 0.0000 0.0000 0.2459
Re1 Re 0.0000 0.5000 0.0000
Mo1 Mo 0.0000 0.5000 0.5000
# Energy relative to the lowest polymorph listed for this composition   192.6 meV/atom
# Fermi-level density of states   1.7 states/eV/f.u.
# Crystal system   orthorhombic
# DFT total energy   -6.3019 eV/atom

***

[11]
# TbSc4Bi5 (PBE, optimized geometry)
data_TbSc4Bi5
_cell_length_a 4.3086
_cell_length_b 6.1167
_cell_length_c 21.5426
_cell_angle_alpha 90.00
_cell_angle_beta 90.00
_cell_angle_gamma 90.00
_symmetry_space_group_name_H-M 'I m m m'
_symmetry_Int_Tables_number 71
_symmetry_space_group_name_Hall '-I 2 2'
loop_
_atom_site_label
_atom_site_type_symbol
_atom_site_fract_x
_atom_site_fract_y
_atom_site_fract_z
Tb1 Tb 0.0000 0.0000 0.0000
Sc1 Sc 0.0000 0.0000 0.2032
Sc2 Sc 0.0000 0.0000 0.4001
Bi1 Bi 0.0000 0.5000 0.0000
Bi2 Bi 0.0000 0.5000 0.1987
Bi3 Bi 0.0000 0.5000 0.3939
# Fermi-level density of states   1.9 states/eV/f.u.
# Crystal system   orthorhombic
# DFT total energy   -5.6328 eV/atom

***

[12]
# CaPuTl2 (PBE, optimized geometry)
data_CaPuTl2
_cell_length_a 3.5041
_cell_length_b 3.5041
_cell_length_c 9.1589
_cell_angle_alpha 90.00
_cell_angle_beta 90.00
_cell_angle_gamma 90.00
_symmetry_space_group_name_H-M 'P 4/m m m'
_symmetry_Int_Tables_number 123
_symmetry_space_group_name_Hall '-P 4 2'
loop_
_atom_site_label
_atom_site_type_symbol
_atom_site_fract_x
_atom_site_fract_y
_atom_site_fract_z
Ca1 Ca 0.0000 0.0000 0.0000
Pu1 Pu 0.0000 0.0000 0.5000
Tl1 Tl 0.5000 0.5000 0.2493
# Fermi-level density of states   8.3 states/eV/f.u.
# Crystal system   tetragonal
# DFT total energy   -5.4589 eV/atom

***

[13]
# AlZnNiPd (PBE, optimized geometry)
data_AlZnNiPd
_cell_length_a 5.9817
_cell_length_b 5.9817
_cell_length_c 5.9817
_cell_angle_alpha 90.00
_cell_angle_beta 90.00
_cell_angle_gamma 90.00
_symmetry_space_group_name_H-M 'F -4 3 m'
_symmetry_Int_Tables_number 216
_symmetry_space_group_name_Hall 'F -4 2 3'
loop_
_atom_site_label
_atom_site_type_symbol
_atom_site_fract_x
_atom_site_fract_y
_atom_site_fract_z
Al1 Al 0.0000 0.0000 0.0000
Zn1 Zn 0.0000 0.0000 0.5000
Ni1 Ni 0.2500 0.2500 0.2500
Pd1 Pd 0.2500 0.2500 0.7500
# Energy relative to the lowest polymorph listed for this composition   30.2 meV/atom
# Fermi-level density of states   3.0 states/eV/f.u.
# Crystal system   cubic
# DFT total energy   -4.5503 eV/atom

***

[14]
# K2Cu3Te3 (PBE, optimized geometry)
data_K2Cu3Te3
_cell_length_a 7.5600
_cell_length_b 7.5600
_cell_length_c 10.7900
_cell_angle_alpha 90.00
_cell_angle_beta 90.00
_cell_angle_gamma 120.00
_symmetry_space_group_name_H-M 'P 63/m c m'
_symmetry_Int_Tables_number 193
_symmetry_space_group_name_Hall '-P 6c 2'
loop_
_atom_site_label
_atom_site_type_symbol
_atom_site_fract_x
_atom_site_fract_y
_atom_site_fract_z
K1 K 0.3333 0.6667 0.0000
Cu1 Cu 0.0000 0.3335 0.2500
Te1 Te 0.0000 0.3330 0.7500
# E_form (uncorrected)   -0.44 eV per atom
# Fermi-level density of states   2.9 states/eV/f.u.
# Crystal system   hexagonal
# DFT total energy   -3.4276 eV/atom

***

[15]
# Ba2GdCu3O7 (PBE, optimized geometry)
data_Ba2GdCu3O7
_cell_length_a 3.8587
_cell_length_b 3.9308
_cell_length_c 11.8629
_cell_angle_alpha 90.00
_cell_angle_beta 90.00
_cell_angle_gamma 90.00
_symmetry_space_group_name_H-M 'P m m m'
_symmetry_Int_Tables_number 47
_symmetry_space_group_name_Hall '-P 2 2'
loop_
_atom_site_label
_atom_site_type_symbol
_atom_site_fract_x
_atom_site_fract_y
_atom_site_fract_z
Ba1 Ba 0.0000 0.0000 0.1800
Gd1 Gd 0.0000 0.0000 0.5000
Cu1 Cu 0.5000 0.5000 0.0000
Cu2 Cu 0.5000 0.5000 0.3510
O1 O 0.0000 0.5000 0.3771
O2 O 0.5000 0.0000 0.0000
O3 O 0.5000 0.0000 0.3760
O4 O 0.5000 0.5000 0.1582
# E_form (uncorrected)   -1.79 eV per atom
# Fermi-level density of states   4.8 states/eV/f.u.
# Crystal system   orthorhombic
# DFT total energy   -6.7851 eV/atom

***

[16]
# Ho2Zn3Si (PBE, optimized geometry)
data_Ho2Zn3Si
_cell_length_a 7.1633
_cell_length_b 8.6723
_cell_length_c 15.0220
_cell_angle_alpha 90.00
_cell_angle_beta 90.00
_cell_angle_gamma 90.00
_symmetry_space_group_name_H-M 'F m m m'
_symmetry_Int_Tables_number 69
_symmetry_space_group_name_Hall '-F 2 2'
loop_
_atom_site_label
_atom_site_type_symbol
_atom_site_fract_x
_atom_site_fract_y
_atom_site_fract_z
Ho1 Ho 0.2462 0.0000 0.0000
Ho2 Ho 0.2500 0.2500 0.2500
Zn1 Zn 0.0000 0.0000 0.1675
Zn2 Zn 0.0000 0.2472 0.4168
Si1 Si 0.0000 0.0000 0.3337
# Energy relative to the lowest polymorph listed for this composition   0.0 meV/atom
# E_form (uncorrected)   -0.50 eV per atom
# Fermi-level density of states   3.7 states/eV/f.u.
# Crystal system   orthorhombic
# DFT total energy   -3.5694 eV/atom

***

[17]
# FeSeBr2 (PBE, optimized geometry)
data_FeSeBr2
_cell_length_a 3.4070
_cell_length_b 3.4070
_cell_length_c 30.7653
_cell_angle_alpha 90.00
_cell_angle_beta 90.00
_cell_angle_gamma 120.00
_symmetry_space_group_name_H-M 'R -3 m'
_symmetry_Int_Tables_number 166
_symmetry_space_group_name_Hall '-R 3 2"'
loop_
_atom_site_label
_atom_site_type_symbol
_atom_site_fract_x
_atom_site_fract_y
_atom_site_fract_z
Fe1 Fe 0.0000 0.0000 0.0000
Se1 Se 0.0000 0.0000 0.5000
Br1 Br 0.0000 0.0000 0.3784
# Energy relative to the lowest polymorph listed for this composition   465.8 meV/atom
# E_form (uncorrected)   0.27 eV per atom
# Fermi-level density of states   4.7 states/eV/f.u.
# Crystal system   trigonal
# DFT total energy   -3.5549 eV/atom

***

[18]
# Dy4Tm6Th (PBE, optimized geometry)
data_Dy4Tm6Th
_cell_length_a 7.5977
_cell_length_b 7.5977
_cell_length_c 12.8422
_cell_angle_alpha 90.00
_cell_angle_beta 90.00
_cell_angle_gamma 90.00
_symmetry_space_group_name_H-M 'I -4 2 m'
_symmetry_Int_Tables_number 121
_symmetry_space_group_name_Hall 'I -4 2'
loop_
_atom_site_label
_atom_site_type_symbol
_atom_site_fract_x
_atom_site_fract_y
_atom_site_fract_z
Dy1 Dy 0.1718 0.1718 0.4255
Tm1 Tm 0.0000 0.5000 0.0000
Tm2 Tm 0.2474 0.2474 0.1822
Th1 Th 0.0000 0.0000 0.0000
# Energy relative to the lowest polymorph listed for this composition   353.9 meV/atom
# Fermi-level density of states   16.7 states/eV/f.u.
# Crystal system   tetragonal
# DFT total energy   -4.2984 eV/atom

***

[19]
# SiO (PBE, optimized geometry)
data_SiO
_cell_length_a 4.4046
_cell_length_b 4.4046
_cell_length_c 4.8926
_cell_angle_alpha 90.00
_cell_angle_beta 90.00
_cell_angle_gamma 120.00
_symmetry_space_group_name_H-M 'P 63 m c'
_symmetry_Int_Tables_number 186
_symmetry_space_group_name_Hall 'P 6c -2c'
loop_
_atom_site_label
_atom_site_type_symbol
_atom_site_fract_x
_atom_site_fract_y
_atom_site_fract_z
Si1 Si 0.3333 0.6667 0.0000
O1 O 0.3333 0.6667 0.6739
# E_form (uncorrected)   -0.69 eV per atom
# Fermi-level density of states   0.0 states/eV/f.u.
# Crystal system   hexagonal
# DFT total energy   -5.8836 eV/atom

***

[20]
# BaSnO3 (PBE, optimized geometry)
data_BaSnO3
_cell_length_a 3.6121
_cell_length_b 6.9115
_cell_length_c 7.7103
_cell_angle_alpha 90.00
_cell_angle_beta 103.54
_cell_angle_gamma 90.00
_symmetry_space_group_name_H-M 'P 1 21/m 1'
_symmetry_Int_Tables_number 11
_symmetry_space_group_name_Hall '-P 2yb'
loop_
_atom_site_label
_atom_site_type_symbol
_atom_site_fract_x
_atom_site_fract_y
_atom_site_fract_z
Ba1 Ba 0.1819 0.2500 0.3645
Sn1 Sn 0.4272 0.2500 0.8536
O1 O 0.0054 0.7500 0.0116
O2 O 0.3475 0.0256 0.6942
# E_form (uncorrected)   -1.96 eV per atom
# Fermi-level density of states   0.0 states/eV/f.u.
# Crystal system   monoclinic
# DFT total energy   -6.1183 eV/atom